[1]
Entry from Alexandria via LeMat-Bulk: an optimized crystal structure of Pr3PbI (PBE-GGA).

Values from the calculation:
Space group: P2_1/c (14)
Fermi-level density of states: 20.17 states/eV per cell
Energy relative to the elements, uncorrected: -0.52 eV/atom
Total moment: 0.0 μB per cell

Unit cell a=9.415 b=6.569 c=11.238 alpha=90.00 beta=107.01 gamma=90.00
Positions (direct):
Pr (0.031, 0.098, 0.285)
Pr (0.031, 0.402, 0.785)
Pr (0.184, 0.645, 0.535)
Pr (0.184, 0.855, 0.035)
Pr (0.421, 0.213, 0.865)
Pr (0.421, 0.287, 0.365)
Pr (0.579, 0.713, 0.635)
Pr (0.579, 0.787, 0.135)
Pr (0.816, 0.145, 0.965)
Pr (0.816, 0.355, 0.465)
Pr (0.969, 0.598, 0.215)
Pr (0.969, 0.902, 0.715)
Pb (0.352, 0.708, 0.834)
Pb (0.352, 0.792, 0.334)
Pb (0.648, 0.208, 0.666)
Pb (0.648, 0.292, 0.166)
I (0.176, 0.164, 0.582)
I (0.176, 0.336, 0.082)
I (0.824, 0.664, 0.918)
I (0.824, 0.836, 0.418)



[2]
Entry from Alexandria via LeMat-Bulk: an optimized crystal structure of ZrMnIn2 (PBE-GGA).

Values from the calculation:
Space group: Fm-3m (225)
Fermi-level density of states: 13.95 states/eV per cell
Formation enthalpy at 0 K: 1.07 eV per formula unit
Total moment: 0.0 μB per cell

Unit cell a=6.704 b=6.704 c=6.704 alpha=90.00 beta=90.00 gamma=90.00
Positions (direct):
Zr (0.000, 0.000, 0.000)
Zr (0.000, 0.500, 0.500)
Zr (0.500, 0.000, 0.500)
Zr (0.500, 0.500, 0.000)
Mn (0.000, 0.000, 0.500)
Mn (0.000, 0.500, 0.000)
Mn (0.500, 0.000, 0.000)
Mn (0.500, 0.500, 0.500)
In (0.250, 0.250, 0.250)
In (0.250, 0.250, 0.750)
In (0.250, 0.750, 0.250)
In (0.250, 0.750, 0.750)
In (0.750, 0.250, 0.250)
In (0.750, 0.250, 0.750)
In (0.750, 0.750, 0.250)
In (0.750, 0.750, 0.750)



[3]
Entry from Alexandria via LeMat-Bulk: an optimized crystal structure of USBr2 (PBE-GGA).

Values from the calculation:
Space group: Immm (71)
Fermi-level density of states: 9.26 states/eV per cell
Energy relative to the elements, uncorrected: -1.21 eV/atom
ΔE to the lowest computed polymorph: 0.0 meV/atom
Total moment: 4.0 μB per cell

Unit cell a=4.259 b=5.139 c=13.643 alpha=90.00 beta=90.00 gamma=90.00
Positions (direct):
U (0.000, 0.000, 0.000)
U (0.500, 0.500, 0.500)
S (0.000, 0.500, 0.000)
S (0.500, 0.000, 0.500)
Br (0.000, 0.500, 0.358)
Br (0.000, 0.500, 0.642)
Br (0.500, 0.000, 0.142)
Br (0.500, 0.000, 0.858)



[4]
Entry from Alexandria via LeMat-Bulk: an optimized crystal structure of LiHgBr2 (PBE-GGA).

Values from the calculation:
Space group: Pmmm (47)
Fermi-level density of states: 1.02 states/eV per cell
Energy relative to the elements, uncorrected: -0.72 eV/atom
ΔE to the lowest computed polymorph: 80.1 meV/atom
Total moment: 0.0 μB per cell

Unit cell a=3.987 b=4.104 c=7.636 alpha=90.00 beta=90.00 gamma=90.00
Positions (direct):
Li (0.000, 0.000, 0.000)
Hg (0.000, 0.500, 0.500)
Br (0.500, 0.000, 0.500)
Br (0.500, 0.500, 0.000)



[5]
Entry from Alexandria via LeMat-Bulk: an optimized crystal structure of Pr2ErAg (PBE-GGA).

Values from the calculation:
Space group: C2/c (15)
Fermi-level density of states: 16.62 states/eV per cell
Formation enthalpy at 0 K: -0.12 eV per formula unit
ΔE to the lowest computed polymorph: 57.8 meV/atom
Total moment: 0.0 μB per cell

Unit cell a=12.237 b=6.266 c=6.560 alpha=90.00 beta=107.91 gamma=90.00
Positions (direct):
Pr (0.215, 0.010, 0.110)
Pr (0.215, 0.990, 0.610)
Pr (0.285, 0.490, 0.890)
Pr (0.285, 0.510, 0.390)
Pr (0.715, 0.490, 0.610)
Pr (0.715, 0.510, 0.110)
Pr (0.785, 0.010, 0.390)
Pr (0.785, 0.990, 0.890)
Er (0.000, 0.331, 0.250)
Er (0.000, 0.669, 0.750)
Er (0.500, 0.169, 0.750)
Er (0.500, 0.831, 0.250)
Ag (0.000, 0.197, 0.750)
Ag (0.000, 0.803, 0.250)
Ag (0.500, 0.303, 0.250)
Ag (0.500, 0.697, 0.750)



[6]
Entry from Alexandria via LeMat-Bulk: an optimized crystal structure of CePaN3 (PBE-GGA).

Values from the calculation:
Space group: Pmmn (59)
Energy relative to the elements, uncorrected: -1.46 eV/atom
Total moment: 0.0 μB per cell

Unit cell a=3.554 b=5.769 c=7.124 alpha=90.00 beta=90.00 gamma=90.00
Positions (direct):
Ce (0.250, 0.250, 0.124)
Ce (0.750, 0.750, 0.876)
Pa (0.250, 0.750, 0.392)
Pa (0.750, 0.250, 0.608)
N (0.250, 0.507, 0.657)
N (0.250, 0.750, 0.055)
N (0.250, 0.993, 0.657)
N (0.750, 0.007, 0.343)
N (0.750, 0.250, 0.945)
N (0.750, 0.493, 0.343)



[7]
Entry from Alexandria via LeMat-Bulk: an optimized crystal structure of KSrBr2 (PBE-GGA).

Values from the calculation:
Space group: R3m (160)
Fermi-level density of states: 4.00 states/eV per cell
Energy relative to the elements, uncorrected: -1.54 eV/atom
ΔE to the lowest computed polymorph: 8.7 meV/atom
Total moment: 0.0 μB per cell

Unit cell a=4.615 b=4.615 c=33.243 alpha=90.00 beta=90.00 gamma=120.00
Positions (direct):
K (0.000, 0.000, 0.000)
K (0.333, 0.667, 0.667)
K (0.667, 0.333, 0.333)
Sr (0.000, 0.000, 0.171)
Sr (0.333, 0.667, 0.837)
Sr (0.667, 0.333, 0.504)
Br (0.000, 0.000, 0.552)
Br (0.000, 0.000, 0.790)
Br (0.333, 0.667, 0.218)
Br (0.333, 0.667, 0.457)
Br (0.667, 0.333, 0.123)
Br (0.667, 0.333, 0.885)



[8]
Entry from Alexandria via LeMat-Bulk: an optimized crystal structure of ZrMnSi4 (PBE-GGA).

Values from the calculation:
Space group: F-43m (216)
Fermi-level density of states: 2.75 states/eV per cell
Energy relative to the elements, uncorrected: 0.01 eV/atom
Total moment: 3.4 μB per cell

Unit cell a=5.002 b=5.002 c=5.002 alpha=60.00 beta=60.00 gamma=60.00
Positions (direct):
Zr (0.000, 0.000, 0.000)
Mn (0.750, 0.750, 0.750)
Si (0.376, 0.376, 0.376)
Si (0.376, 0.376, 0.872)
Si (0.376, 0.872, 0.376)
Si (0.872, 0.376, 0.376)



[9]
Entry from Alexandria via LeMat-Bulk: an optimized crystal structure of MgScTc2 (PBE-GGA).

Values from the calculation:
Space group: Cmmm (65)
Fermi-level density of states: 9.48 states/eV per cell
Formation enthalpy at 0 K: 0.53 eV per formula unit
Total moment: 0.0 μB per cell

Unit cell a=3.264 b=4.510 c=8.988 alpha=90.00 beta=90.00 gamma=90.00
Positions (direct):
Mg (0.000, 0.000, 0.000)
Mg (0.500, 0.500, 0.000)
Sc (0.000, 0.000, 0.500)
Sc (0.500, 0.500, 0.500)
Tc (0.000, 0.500, 0.250)
Tc (0.000, 0.500, 0.750)
Tc (0.500, 0.000, 0.250)
Tc (0.500, 0.000, 0.750)



[10]
Entry from Alexandria via LeMat-Bulk: an optimized crystal structure of Ba2FeW (PBE-GGA).

Values from the calculation:
Space group: R-3m (166)
Fermi-level density of states: 16.05 states/eV per cell
Formation enthalpy at 0 K: 6.33 eV per formula unit
ΔE to the lowest computed polymorph: 1011.5 meV/atom
Total moment: 8.4 μB per cell

Unit cell a=3.300 b=3.300 c=33.360 alpha=90.00 beta=90.00 gamma=120.00
Positions (direct):
Ba (0.000, 0.000, 0.249)
Ba (0.000, 0.000, 0.751)
Ba (0.333, 0.667, 0.418)
Ba (0.333, 0.667, 0.916)
Ba (0.667, 0.333, 0.084)
Ba (0.667, 0.333, 0.582)
Fe (0.000, 0.000, 0.500)
Fe (0.333, 0.667, 0.167)
Fe (0.667, 0.333, 0.833)
W (0.000, 0.000, 0.000)
W (0.333, 0.667, 0.667)
W (0.667, 0.333, 0.333)



[11]
Entry from Alexandria via LeMat-Bulk: an optimized crystal structure of Pm8TlIr3I4 (PBE-GGA).

Values from the calculation:
Space group: R-3m (166)
Fermi-level density of states: 11.57 states/eV per cell
Energy relative to the elements, uncorrected: -0.85 eV/atom
Total moment: 0.0 μB per cell

Unit cell a=9.440 b=9.440 c=9.440 alpha=53.89 beta=53.89 gamma=53.89
Positions (direct):
Pm (0.204, 0.743, 0.743)
Pm (0.229, 0.229, 0.229)
Pm (0.257, 0.257, 0.796)
Pm (0.257, 0.796, 0.257)
Pm (0.743, 0.204, 0.743)
Pm (0.743, 0.743, 0.204)
Pm (0.771, 0.771, 0.771)
Pm (0.796, 0.257, 0.257)
Tl (0.500, 0.500, 0.500)
Ir (0.000, 0.000, 0.500)
Ir (0.000, 0.500, 0.000)
Ir (0.500, 0.000, 0.000)
I (0.000, 0.000, 0.000)
I (0.000, 0.500, 0.500)
I (0.500, 0.000, 0.500)
I (0.500, 0.500, 0.000)



[12]
Entry from Alexandria via LeMat-Bulk: an optimized crystal structure of LaAl2Zn (PBE-GGA).

Values from the calculation:
Space group: P4/mmm (123)
Fermi-level density of states: 1.54 states/eV per cell
Formation enthalpy at 0 K: -0.75 eV per formula unit
Total moment: 0.0 μB per cell

Unit cell a=3.413 b=3.413 c=7.321 alpha=90.00 beta=90.00 gamma=90.00
Positions (direct):
La (0.000, 0.000, 0.000)
Al (0.500, 0.500, 0.311)
Al (0.500, 0.500, 0.689)
Zn (0.000, 0.000, 0.500)



Q: total moment of number 3 (USBr2)?
A: 4.0 μB per cell



Q: Which formula does entry 2 have?
A: ZrMnIn2



What did the fourth record say?
Entry from Alexandria via LeMat-Bulk: an optimized crystal structure of LiHgBr2 (PBE-GGA).

Values from the calculation:
Space group: Pmmm (47)
Fermi-level density of states: 1.02 states/eV per cell
Energy relative to the elements, uncorrected: -0.72 eV/atom
ΔE to the lowest computed polymorph: 80.1 meV/atom
Total moment: 0.0 μB per cell

Unit cell a=3.987 b=4.104 c=7.636 alpha=90.00 beta=90.00 gamma=90.00
Positions (direct):
Li (0.000, 0.000, 0.000)
Hg (0.000, 0.500, 0.500)
Br (0.500, 0.000, 0.500)
Br (0.500, 0.500, 0.000)